[1]
## La3Bi (PBE)

Data for crystalline La3Bi at its relaxed geometry.

Volume ... 33.85 Å³/atom
Total DFT energy (no corrections) ... -5.130 eV/atom
Formation energy ... -0.46 eV/atom
Total moment ... 0.0 μB per cell

```
La3Bi
1.0
-2.094 5.615 2.879
2.094 -5.615 2.879
2.094 5.615 -2.879
La Bi
3 1
direct
0.000 0.000 0.000
0.418 0.639 0.779
0.861 0.639 0.221
0.468 0.968 0.500
```

[2]
## LaBi2 (PBE)

Data for crystalline LaBi2 at its relaxed geometry.

Volume ... 33.43 Å³/atom
Total DFT energy (no corrections) ... -4.810 eV/atom
Formation energy ... -0.58 eV/atom
Total moment ... 0.0 μB per cell

```
LaBi2
1.0
-2.176 2.176 5.293
2.176 -2.176 5.293
2.176 2.176 -5.293
La Bi
1 2
direct
0.000 0.000 0.000
0.351 0.351 0.000
0.649 0.649 0.000
```

[3]
## LaBi (PBE)

Data for crystalline LaBi at its relaxed geometry.

Volume ... 45.57 Å³/atom
Total DFT energy (no corrections) ... -5.214 eV/atom
Formation energy ... -0.81 eV/atom
Total moment ... 0.0 μB per cell

```
LaBi
1.0
5.653 0.000 0.000
-2.827 4.896 0.000
0.000 0.000 6.585
La Bi
2 2
direct
0.333 0.667 0.250
0.667 0.333 0.750
0.333 0.667 0.750
0.667 0.333 0.250
```

[4]
## La3Bi (PBE)

Data for crystalline La3Bi at its relaxed geometry.

Volume ... 32.61 Å³/atom
Total DFT energy (no corrections) ... -5.186 eV/atom
Formation energy ... -0.52 eV/atom
Total moment ... 0.0 μB per cell

```
La3Bi
1.0
5.071 0.000 0.000
0.000 5.071 0.000
0.000 0.000 5.071
La Bi
3 1
direct
0.000 0.000 0.500
0.000 0.500 0.000
0.500 0.000 0.000
0.500 0.500 0.500
```

[5]
## LaBi (PBE)

Data for crystalline LaBi at its relaxed geometry.

Volume ... 36.85 Å³/atom
Total DFT energy (no corrections) ... -5.461 eV/atom
Formation energy ... -1.06 eV/atom
Total moment ... 0.0 μB per cell

```
LaBi
1.0
0.000 3.328 3.328
3.328 0.000 3.328
3.328 3.328 0.000
La Bi
1 1
direct
0.000 0.000 0.000
0.500 0.500 0.500
```

[6]
## La4Bi3 (PBE)

Data for crystalline La4Bi3 at its relaxed geometry.

Volume ... 36.22 Å³/atom
Total DFT energy (no corrections) ... -5.242 eV/atom
Formation energy ... -0.76 eV/atom
Total moment ... 0.0 μB per cell

```
La4Bi3
1.0
2.787 1.609 9.423
-2.787 1.609 9.423
0.000 -3.218 9.423
La Bi
4 3
direct
0.120 0.120 0.120
0.370 0.370 0.370
0.630 0.630 0.630
0.880 0.880 0.880
0.000 0.000 0.000
0.240 0.240 0.240
0.760 0.760 0.760
```